1.
A plane-wave DFT calculation with PBE was carried out for a geometry-optimized Pr6Co2IrI3 structure.

a = 7.182 Å, b = 12.439 Å, c = 8.524 Å
α = 90.00°, β = 106.30°, γ = 90.00°
Space group C2/m (No. 12)
Asymmetric unit:
Pr1 0.220 0.000 0.183
Pr2 0.232 0.329 0.183
Co1 0.000 0.167 0.000
Ir1 0.000 0.500 0.000
I1 0.000 0.000 0.500
I2 0.000 0.334 0.500

Summary:
uncorrected formation energy: -0.69 eV/atom
D(E_F): 0.295 states/eV per atom
final energy: -5.394 eV per atom
volume: 30.5 A^3/atom

2.
A plane-wave DFT calculation with PBE was carried out for a geometry-optimized Pr4CoIrI2 structure.

a = 7.229 Å, b = 4.168 Å, c = 8.527 Å
α = 90.00°, β = 106.32°, γ = 90.00°
Space group P2/m (No. 10)
Asymmetric unit:
Pr1 0.220 0.000 0.183
Pr2 0.266 0.500 0.815
Co1 0.000 0.500 0.000
Ir1 0.500 0.000 0.000
I1 0.000 0.000 0.500
I2 0.500 0.500 0.500

Summary:
uncorrected formation energy: -0.76 eV/atom
D(E_F): 0.231 states/eV per atom
final energy: -5.532 eV per atom
volume: 30.8 A^3/atom

3.
A plane-wave DFT calculation with PBE was carried out for a geometry-optimized Pr8Co3IrI4 structure.

a = 14.309 Å, b = 8.267 Å, c = 9.470 Å
α = 90.00°, β = 120.18°, γ = 90.00°
Space group C2/m (No. 12)
Asymmetric unit:
Pr1 0.024 0.245 0.316
Pr2 0.228 0.000 0.682
Pr3 0.231 0.500 0.684
Co1 0.000 0.000 0.500
Co2 0.250 0.250 0.500
Ir1 0.000 0.500 0.500
I1 0.000 0.000 0.000
I2 0.000 0.500 0.000
I3 0.250 0.250 0.000

Summary:
uncorrected formation energy: -0.67 eV/atom
D(E_F): 0.238 states/eV per atom
final energy: -5.330 eV per atom
volume: 30.3 A^3/atom

4.
A plane-wave DFT calculation with PBE was carried out for a geometry-optimized Rb2CoIrI6 structure.

a = 8.014 Å, b = 8.014 Å, c = 10.976 Å
α = 90.00°, β = 90.00°, γ = 90.00°
Space group I4/mmm (No. 139)
Asymmetric unit:
Rb1 0.000 0.500 0.250
Co1 0.000 0.000 0.000
Ir1 0.000 0.000 0.500
I1 0.000 0.000 0.249
I2 0.243 0.243 0.500

Summary:
uncorrected formation energy: -0.41 eV/atom
D(E_F): 1.270 states/eV per atom
final energy: -3.129 eV per atom
volume: 35.2 A^3/atom

What did the third record say?
A plane-wave DFT calculation with PBE was carried out for a geometry-optimized Pr8Co3IrI4 structure.

a = 14.309 Å, b = 8.267 Å, c = 9.470 Å
α = 90.00°, β = 120.18°, γ = 90.00°
Space group C2/m (No. 12)
Asymmetric unit:
Pr1 0.024 0.245 0.316
Pr2 0.228 0.000 0.682
Pr3 0.231 0.500 0.684
Co1 0.000 0.000 0.500
Co2 0.250 0.250 0.500
Ir1 0.000 0.500 0.500
I1 0.000 0.000 0.000
I2 0.000 0.500 0.000
I3 0.250 0.250 0.000

Summary:
uncorrected formation energy: -0.67 eV/atom
D(E_F): 0.238 states/eV per atom
final energy: -5.330 eV per atom
volume: 30.3 A^3/atom